Entry 1:
NaCuNiAs2 after structural relaxation. Source: Alexandria, functional GGA-PBE.

a = 4.088 Å, b = 4.088 Å, c = 5.889 Å
α = 110.31°, β = 110.31°, γ = 90.00°
Fractional coordinates of all 5 atoms:
Na 0.000 0.000 0.000
Cu 0.250 0.750 0.500
Ni 0.750 0.250 0.500
As 0.625 0.625 0.250
As 0.375 0.375 0.750

D(E_F) ... 0.637 states/eV/atom
Energy relative to the elements ... -0.258 eV/atom
Total moment ... 0.0 μB per cell
Final energy ... -0.3202 Ry per atom


Entry 2:
SrNbGaAg2 after structural relaxation. Source: Alexandria, functional GGA-PBE.

a = 5.190 Å, b = 5.384 Å, c = 5.190 Å
α = 90.00°, β = 90.00°, γ = 90.00°
Fractional coordinates of all 5 atoms:
Sr 0.000 0.000 0.000
Nb 0.500 0.500 0.500
Ga 0.000 0.500 0.000
Ag 0.000 0.000 0.500
Ag 0.500 0.000 0.000

D(E_F) ... 0.951 states/eV/atom
Energy relative to the elements ... 1.679 eV/atom
Total moment ... 0.0 μB per cell
Final energy ... -0.1776 Ry per atom


Please write out number 2 again, unchanged.
SrNbGaAg2 after structural relaxation. Source: Alexandria, functional GGA-PBE.

a = 5.190 Å, b = 5.384 Å, c = 5.190 Å
α = 90.00°, β = 90.00°, γ = 90.00°
Fractional coordinates of all 5 atoms:
Sr 0.000 0.000 0.000
Nb 0.500 0.500 0.500
Ga 0.000 0.500 0.000
Ag 0.000 0.000 0.500
Ag 0.500 0.000 0.000

D(E_F) ... 0.951 states/eV/atom
Energy relative to the elements ... 1.679 eV/atom
Total moment ... 0.0 μB per cell
Final energy ... -0.1776 Ry per atom


Question: Which value of final energy does entry 2 give?
Answer: -0.1776 Ry per atom